(1)
{
  "formula": "ZnFeCl2",
  "functional": "GGA-PBE",
  "state": "relaxed",
  "lattice_angstrom": [[-2.189, -0.389, -2.358], [4.484, -0.557, -4.071], [0.054, -3.877, 0.590]],
  "species": ["Cl", "Cl", "Zn", "Fe"],
  "fractional_positions": [[0.500, 0.500, 0.000], [0.000, 0.000, 0.000], [0.000, 0.500, 0.500], [0.500, 0.000, 0.500]],
  "energy_ev_per_atom": -3.25,
  "e_above_lowest_polymorph_ev_per_fu": 1.85
}


(2)
{
  "formula": "Ac3LaTe4",
  "functional": "GGA-PBE",
  "state": "relaxed",
  "lattice_angstrom": [[4.658, 0.000, 0.000], [0.000, 8.159, -0.050], [0.000, -2.619, 7.727]],
  "species": ["Ac", "Ac", "Ac", "Te", "Te", "Te", "Te", "La"],
  "fractional_positions": [[0.000, 0.500, 0.000], [0.000, 0.000, 0.500], [0.500, 0.500, 0.500], [0.500, 0.247, 0.753], [0.000, 0.244, 0.244], [0.000, 0.756, 0.756], [0.500, 0.753, 0.247], [0.500, 0.000, 0.000]],
  "energy_ev_per_atom": -5.24,
  "e_above_lowest_polymorph_ev_per_fu": 0.02
}


(3)
{
  "formula": "PrDySiAg",
  "functional": "GGA-PBE",
  "state": "relaxed",
  "lattice_angstrom": [[-0.625, -1.939, -4.738], [-3.300, -3.886, -0.781], [-4.397, 0.827, -2.565]],
  "species": ["Si", "Ag", "Pr", "Dy"],
  "fractional_positions": [[0.750, 0.750, 0.750], [0.250, 0.250, 0.250], [0.500, 0.500, 0.500], [0.000, 0.000, 0.000]],
  "energy_ev_per_atom": -4.83
}


(4)
{
  "formula": "Tb2DyEr2Tm2",
  "functional": "GGA-PBE",
  "state": "relaxed",
  "lattice_angstrom": [[-1.124, -1.550, -2.883], [-4.384, -4.030, 5.953], [-3.346, 7.430, -2.690]],
  "species": ["Dy", "Er", "Er", "Tm", "Tm", "Tb", "Tb"],
  "fractional_positions": [[0.000, 0.000, 0.500], [0.223, 0.446, 0.648], [0.777, 0.554, 0.352], [0.921, 0.842, 0.799], [0.079, 0.158, 0.201], [0.365, 0.730, 0.092], [0.635, 0.270, 0.908]],
  "ef_ev_per_atom": 0.131,
  "energy_ev_per_atom": -4.43
}


> Number 1 is which compound?

ZnFeCl2